K2AgPPt | GGA-PBE | relaxed

Cell: 6.402 6.402 4.353 Å, 90.00 90.00 90.00°
Fractional coordinates of all 5 atoms:
1 K 0.000 0.500 0.000
2 K 0.500 0.000 0.000
3 Ag 0.000 0.000 0.500
4 P 0.500 0.500 0.500
5 Pt 0.500 0.500 0.000

## Properties
E_form	-0.14	eV per atom
magnetic moment	0.00	μB per cell